No. 1
! VCdO2F PBE with a Hubbard U optimized geometry; values from VASP
! symmetry	P4/mmm, No. 123
! D(E_F)	0.49	states/eV/atom
! energy	-0.3329	Ry per atom
&SYSTEM
  ibrav = 0, nat = 5, ntyp = 4
/
ATOMIC_SPECIES
V 50.94 V.upf
Cd 112.41 Cd.upf
O 16.00 O.upf
F 19.00 F.upf
CELL_PARAMETERS angstrom
4.1799 0.0000 0.0000
0.0000 4.1799 0.0000
0.0000 0.0000 4.2296
ATOMIC_POSITIONS crystal
V 0.0000 0.0000 0.0000
Cd 0.5000 0.5000 0.5000
O 0.0000 0.5000 0.5000
O 0.5000 0.0000 0.5000
F 0.5000 0.5000 0.0000

---

No. 2
! VCdO2F PBE with a Hubbard U optimized geometry; values from VASP
! symmetry	P4/mmm, No. 123
! D(E_F)	0.45	states/eV/atom
! energy	-0.4020	Ry per atom
&SYSTEM
  ibrav = 0, nat = 5, ntyp = 4
/
ATOMIC_SPECIES
V 50.94 V.upf
Cd 112.41 Cd.upf
O 16.00 O.upf
F 19.00 F.upf
CELL_PARAMETERS angstrom
3.9521 0.0000 0.0000
0.0000 3.9521 0.0000
0.0000 0.0000 3.8874
ATOMIC_POSITIONS crystal
V 0.0000 0.0000 0.0000
Cd 0.5000 0.5000 0.5000
O 0.0000 0.5000 0.0000
O 0.5000 0.0000 0.0000
F 0.0000 0.0000 0.5000

---

No. 3
! CdWO2F PBE with a Hubbard U optimized geometry; values from VASP
! symmetry	P4/mmm, No. 123
! D(E_F)	0.36	states/eV/atom
! energy	-0.3072	Ry per atom
&SYSTEM
  ibrav = 0, nat = 5, ntyp = 4
/
ATOMIC_SPECIES
Cd 112.41 Cd.upf
W 183.84 W.upf
O 16.00 O.upf
F 19.00 F.upf
CELL_PARAMETERS angstrom
4.2693 0.0000 0.0000
0.0000 4.2693 0.0000
0.0000 0.0000 4.1602
ATOMIC_POSITIONS crystal
Cd 0.0000 0.0000 0.0000
W 0.5000 0.5000 0.5000
O 0.0000 0.5000 0.0000
O 0.5000 0.0000 0.0000
F 0.0000 0.0000 0.5000

---

No. 4
! CdWO2F PBE with a Hubbard U optimized geometry; values from VASP
! symmetry	P4/mmm, No. 123
! D(E_F)	0.30	states/eV/atom
! energy	-0.3997	Ry per atom
&SYSTEM
  ibrav = 0, nat = 5, ntyp = 4
/
ATOMIC_SPECIES
Cd 112.41 Cd.upf
W 183.84 W.upf
O 16.00 O.upf
F 19.00 F.upf
CELL_PARAMETERS angstrom
4.0825 0.0000 0.0000
0.0000 4.0825 0.0000
0.0000 0.0000 4.3042
ATOMIC_POSITIONS crystal
Cd 0.0000 0.0000 0.0000
W 0.5000 0.5000 0.5000
O 0.0000 0.5000 0.5000
O 0.5000 0.0000 0.5000
F 0.5000 0.5000 0.0000

---

| no. | magnetic moment (μB/f.u.) |
| --- | --- |
| 1 | 2.75 |
| 2 | 0.69 |
| 3 | 3.25 |
| 4 | 2.05 |